Entry 1:
MnHPd3 PBE optimized geometry; uncorrected energy = -5.50 eV per atom; total magnetic moment = 6.23 Bohr magnetons per cell; calculated density = 9.80 Mg/m³; volume = 254 Å³/cell
1.0
-6.539 -16.662 -9.698
4.356 -0.742 -1.662
2.932 4.571 5.643
H Mn Pd
4 4 12
Cartesian
3.494 1.088 2.839
-2.745 -13.921 -8.556
3.601 -3.579 -1.500
-2.852 -9.254 -4.217
0.951 -5.631 -2.791
-0.201 -7.202 -2.926
0.133 -0.907 -0.338
0.616 -11.927 -5.379
0.883 -0.908 2.338
-0.134 -11.925 -8.055
2.672 -0.980 0.352
-1.922 -11.854 -6.069
-0.484 -4.083 -1.477
1.233 -8.750 -4.240
2.178 -2.558 -1.885
-1.429 -10.275 -3.832
-0.325 -9.650 -6.377
1.074 -3.184 0.660
-3.807 -13.775 -6.955
4.556 0.942 1.238


Entry 2:
ZnGeN2 PBE optimized geometry; uncorrected energy = -4.29 eV per atom; total magnetic moment = 0.00 Bohr magnetons per cell; calculated density = 6.61 Mg/m³; volume = 42 Å³/cell
1.0
-0.633 -3.620 -1.285
-3.357 -0.880 -1.766
-0.056 -0.726 -3.825
Ge Zn N
1 1 2
Cartesian
-2.023 -2.613 -3.438
0.000 0.000 0.000
-1.011 -1.307 -1.719
-3.034 -3.920 -5.157


Entry 3:
Sb4TeSe5 PBE optimized geometry; uncorrected energy = -3.82 eV per atom; total magnetic moment = 0.00 Bohr magnetons per cell; calculated density = 4.75 Mg/m³; volume = 706 Å³/cell
1.0
-6.894 -1.071 -3.616
2.767 -7.308 -3.109
-3.733 -5.082 8.623
Sb Te Se
8 2 10
Cartesian
-9.078 -4.630 2.805
-1.252 -5.697 -3.900
-2.420 -2.612 -2.587
-7.472 -2.444 -0.904
0.095 -4.823 0.045
-3.359 -8.878 -0.069
-4.957 -4.655 1.728
-2.033 -7.719 4.960
-4.534 -0.705 -2.378
-2.844 -6.562 1.519
-2.751 -9.922 3.667
-4.169 -6.175 5.261
-4.835 -4.621 -4.816
-0.445 -6.783 -1.660
-1.863 -3.036 -0.066
-4.166 -7.793 -2.309
-5.515 -4.231 -0.794
-2.543 -2.646 3.957
-6.942 -6.174 2.503
-5.594 -9.736 0.988


Entry 4:
GeBrN2 PBE optimized geometry; uncorrected energy = -3.52 eV per atom; total magnetic moment = 0.00 Bohr magnetons per cell; calculated density = 5.91 Mg/m³; volume = 51 Å³/cell
1.0
0.000 2.938 2.938
2.938 0.000 2.938
2.938 2.938 0.000
Ge Br N
1 1 2
Cartesian
0.000 0.000 0.000
2.938 2.938 2.938
1.469 1.469 1.469
4.407 4.407 4.407


Entry 5:
Sr5Pm3S8 PBE optimized geometry; uncorrected energy = -5.55 eV per atom; total magnetic moment = 0.00 Bohr magnetons per cell; calculated density = 4.57 Mg/m³; volume = 411 Å³/cell
1.0
-2.839 7.797 0.502
-3.372 2.748 7.084
4.107 5.628 4.649
Sr Pm S
5 3 8
Cartesian
-1.419 3.899 0.251
-3.105 5.273 3.793
0.000 0.000 0.000
-1.686 1.374 3.542
-1.052 8.086 6.118
0.634 6.712 2.576
2.053 2.814 2.325
0.367 4.188 5.867
1.487 6.800 5.337
-0.233 8.202 8.951
0.039 10.778 5.593
-1.656 12.103 9.150
-3.591 9.372 6.898
-1.871 7.971 3.285
-2.143 5.395 6.642
-0.449 4.070 3.085


Entry 6:
TbErGeS PBE optimized geometry; uncorrected energy = -5.93 eV per atom; total magnetic moment = 0.00 Bohr magnetons per cell; calculated density = 7.68 Mg/m³; volume = 93 Å³/cell
1.0
-3.500 1.853 -0.756
-3.404 -1.357 1.682
-1.318 4.144 5.509
Tb Er Ge S
1 1 1 1
Cartesian
-6.001 4.150 5.701
-1.891 1.826 2.479
-6.735 1.177 1.816
-3.950 2.972 4.068


Entry 7:
LiY2P2 PBE optimized geometry; uncorrected energy = -6.28 eV per atom; total magnetic moment = 1.46 Bohr magnetons per cell; calculated density = 3.93 Mg/m³; volume = 208 Å³/cell; E_form = -1148 meV/atom
1.0
7.435 0.000 0.000
0.000 7.435 0.000
0.000 0.000 3.769
Y P Li
4 4 2
Cartesian
1.148 4.866 1.884
4.866 6.287 1.884
6.287 2.570 1.884
2.570 1.148 1.884
2.560 6.278 0.000
6.278 4.876 0.000
4.876 1.158 0.000
1.158 2.560 0.000
0.000 0.000 0.000
3.718 3.718 0.000


Entry 8:
Ho2AlGe2 PBE optimized geometry; uncorrected energy = -5.15 eV per atom; total magnetic moment = 0.00 Bohr magnetons per cell; calculated density = 7.81 Mg/m³; volume = 107 Å³/cell; E_form = -727 meV/atom
1.0
3.692 0.000 1.655
1.137 4.990 2.409
-0.315 -0.015 5.648
Ho Al Ge
2 1 2
Cartesian
3.492 3.547 7.047
1.023 1.428 2.665
0.000 0.000 0.000
2.571 3.570 4.155
1.943 1.405 5.557